1.
DFT (PBE) results for crystalline SrZrCl2 at its relaxed geometry.

Spin magnetization   0.5 μB/cell
SG   No. 8
V   29.4 A^3/atom
Density of states at the Fermi level   3.035 states/eV per cell
ΔE_f (raw)   -1107 meV per atom
Energy above the most stable polymorph in this dataset   0.018 eV per atom

a b c (Å): 9.7114 9.7114 3.5126
angles (deg): 90.74 90.74 20.82
Fractional positions:
1 Sr 0.0000 0.0000 0.0000
2 Zr 0.3474 0.3474 0.4881
3 Cl 0.5820 0.5820 0.5058
4 Cl 0.7838 0.7838 0.9836

2.
DFT (PBE) results for crystalline PrHo9Tm2 at its relaxed geometry.

Spin magnetization   0.0 μB/cell
SG   No. 191
Formation energy   35 meV per atom
V   31.5 A^3/atom
Density of states at the Fermi level   15.447 states/eV per cell
Energy above the most stable polymorph in this dataset   0.010 eV per atom

a b c (Å): 11.1629 11.1629 3.4999
angles (deg): 90.00 90.00 120.00
Fractional positions:
1 Pr 0.0000 0.0000 0.0000
2 Ho 0.0000 0.5000 0.0000
3 Ho 0.1791 0.3582 0.5000
4 Ho 0.1791 0.8209 0.5000
5 Ho 0.3582 0.1791 0.5000
6 Ho 0.5000 0.0000 0.0000
7 Ho 0.5000 0.5000 0.0000
8 Ho 0.6418 0.8209 0.5000
9 Ho 0.8209 0.1791 0.5000
10 Ho 0.8209 0.6418 0.5000
11 Tm 0.3333 0.6667 0.0000
12 Tm 0.6667 0.3333 0.0000

3.
DFT (PBE) results for crystalline Pm6DyTm at its relaxed geometry.

Spin magnetization   0.0 μB/cell
SG   No. 123
Formation energy   17 meV per atom
V   33.4 A^3/atom
Density of states at the Fermi level   12.674 states/eV per cell

a b c (Å): 5.1117 5.1117 10.2248
angles (deg): 90.00 90.00 90.00
Fractional positions:
1 Pm 0.0000 0.0000 0.0000
2 Pm 0.0000 0.0000 0.5000
3 Pm 0.0000 0.5000 0.2490
4 Pm 0.0000 0.5000 0.7510
5 Pm 0.5000 0.0000 0.2490
6 Pm 0.5000 0.0000 0.7510
7 Dy 0.5000 0.5000 0.5000
8 Tm 0.5000 0.5000 0.0000

4.
DFT (PBE) results for crystalline La2Tb7Th4 at its relaxed geometry.

Spin magnetization   0.0 μB/cell
SG   No. 162
Formation energy   226 meV per atom
V   33.4 A^3/atom
Density of states at the Fermi level   20.052 states/eV per cell

a b c (Å): 6.1157 6.1157 13.4164
angles (deg): 90.00 90.00 120.00
Fractional positions:
1 La 0.3333 0.6667 0.0000
2 La 0.6667 0.3333 0.0000
3 Tb 0.0000 0.0000 0.0000
4 Tb 0.0000 0.3643 0.7809
5 Tb 0.0000 0.6357 0.2191
6 Tb 0.3643 0.0000 0.7809
7 Tb 0.3643 0.3643 0.2191
8 Tb 0.6357 0.0000 0.2191
9 Tb 0.6357 0.6357 0.7809
10 Th 0.0000 0.0000 0.3909
11 Th 0.0000 0.0000 0.6091
12 Th 0.3333 0.6667 0.5000
13 Th 0.6667 0.3333 0.5000

5.
DFT (PBE) results for crystalline YThP2 at its relaxed geometry.

Spin magnetization   0.0 μB/cell
SG   No. 166
Formation energy   -1593 meV per atom
V   24.0 A^3/atom
Density of states at the Fermi level   1.827 states/eV per cell
Energy above the most stable polymorph in this dataset   0.000 eV per atom

a b c (Å): 7.0311 7.0311 7.0311
angles (deg): 33.83 33.83 33.83
Fractional positions:
1 Y 0.0000 0.0000 0.0000
2 Th 0.5000 0.5000 0.5000
3 P 0.2521 0.2521 0.2521
4 P 0.7479 0.7479 0.7479

6.
DFT (PBE) results for crystalline Nd6Er3Tm2Th at its relaxed geometry.

Spin magnetization   0.0 μB/cell
SG   No. 12
Formation energy   34 meV per atom
V   32.8 A^3/atom
Density of states at the Fermi level   15.454 states/eV per cell

a b c (Å): 6.2386 6.2386 11.8755
angles (deg): 95.04 95.04 119.99
Fractional positions:
1 Nd 0.0836 0.4140 0.7498
2 Nd 0.2466 0.2466 0.2508
3 Nd 0.4140 0.0836 0.7498
4 Nd 0.5860 0.9164 0.2502
5 Nd 0.7534 0.7534 0.7492
6 Nd 0.9164 0.5860 0.2502
7 Er 0.1668 0.8332 0.0000
8 Er 0.5000 0.5000 0.0000
9 Er 0.8332 0.1668 0.0000
10 Tm 0.3333 0.6667 0.5000
11 Tm 0.6667 0.3333 0.5000
12 Th 0.0000 0.0000 0.5000

7.
DFT (PBE) results for crystalline Cs3Na2DyI9 at its relaxed geometry.

Spin magnetization   0.5 μB/cell
SG   No. 164
V   47.7 A^3/atom
Density of states at the Fermi level   16.310 states/eV per cell
ΔE_f (raw)   -1288 meV per atom

a b c (Å): 8.6397 8.6397 11.0623
angles (deg): 90.00 90.00 120.00
Fractional positions:
1 Cs 0.0000 0.0000 0.0000
2 Cs 0.3333 0.6667 0.6774
3 Cs 0.6667 0.3333 0.3226
4 Na 0.3333 0.6667 0.1679
5 Na 0.6667 0.3333 0.8321
6 Dy 0.0000 0.0000 0.5000
7 I 0.0000 0.5000 0.0000
8 I 0.1640 0.3279 0.3415
9 I 0.1640 0.8360 0.3415
10 I 0.3279 0.1640 0.6585
11 I 0.5000 0.0000 0.0000
12 I 0.5000 0.5000 0.0000
13 I 0.6721 0.8360 0.3415
14 I 0.8360 0.1640 0.6585
15 I 0.8360 0.6721 0.6585